# 1
Compound: SrScCl3
Source: Alexandria
Functional: PBEsol
Structure: optimized geometry

Properties
ρ ... 3.223 g/cm³
Space-group type ... Pm-3m, No. 221
Energy relative to the elements, uncorrected ... -1.614 eV/atom

a b c (Å): 4.974 4.974 4.974
angles (deg): 90.00 90.00 90.00
Fractional positions:
Sr 0.000 0.000 0.000
Sc 0.500 0.500 0.500
Cl 0.000 0.500 0.500
Cl 0.500 0.000 0.500
Cl 0.500 0.500 0.000

# 2
Compound: TlCo2PO
Source: Alexandria
Functional: PBEsol
Structure: optimized geometry

Properties
ρ ... 6.897 g/cm³
Space-group type ... P4/mmm, No. 123
Energy relative to the elements, uncorrected ... 0.721 eV/atom

a b c (Å): 4.038 4.038 5.452
angles (deg): 90.00 90.00 90.00
Fractional positions:
Tl 0.000 0.000 0.000
Co 0.000 0.500 0.500
Co 0.500 0.000 0.500
P 0.000 0.000 0.500
O 0.500 0.500 0.000

# 3
Compound: MgCo3F
Source: Alexandria
Functional: PBEsol
Structure: optimized geometry

Properties
ρ ... 5.769 g/cm³
Space-group type ... Pm-3m, No. 221
Energy relative to the elements, uncorrected ... 0.409 eV/atom

a b c (Å): 3.986 3.986 3.986
angles (deg): 90.00 90.00 90.00
Fractional positions:
Mg 0.000 0.000 0.000
Co 0.000 0.500 0.500
Co 0.500 0.000 0.500
Co 0.500 0.500 0.000
F 0.500 0.500 0.500